DFT (PBE) results for a relaxed structure of V2BiPtBr.

Calculated values
Formation energy from raw total energies (meV per atom): 842.7
DOS at the Fermi energy (states/eV per atom): 1.7834
Calculated total energy (eV per atom): -5.124

a b c (Å): 4.695 4.932 4.695
angles (deg): 90.00 90.00 90.00
Each line ends with the local moment (μB).
Positions (direct):
Pt 0.000 0.500 0.000  0.01
Br 0.000 0.000 0.000  -0.04
V 0.000 0.000 0.500  2.37
V 0.500 0.000 0.000  2.24
Bi 0.500 0.500 0.500  -0.16

DFT (PBE) results for a relaxed structure of LaGe2Br.

Calculated values
Formation energy from raw total energies (meV per atom): -48.6
DOS at the Fermi energy (states/eV per atom): 0.6971
Calculated total energy (eV per atom): -4.007

a b c (Å): 5.243 5.243 5.243
angles (deg): 60.00 60.00 60.00
Positions (direct):
Ge 0.250 0.250 0.250
Ge 0.750 0.750 0.750
La 0.500 0.500 0.500
Br 0.000 0.000 0.000